i) ! ErTh2Ga (PBE-GGA, relaxed); values from VASP
&SYSTEM
  ibrav = 0, nat = 4, ntyp = 3
/
ATOMIC_SPECIES
Er 167.26 Er.upf
Th 232.04 Th.upf
Ga 69.72 Ga.upf
CELL_PARAMETERS angstrom
1.695 0.979 11.674
-1.695 0.979 11.674
0.000 -1.957 11.674
ATOMIC_POSITIONS angstrom
Er 0.000 0.000 0.000
Th 0.000 0.000 3.301
Th 0.000 0.000 31.721
Ga 0.000 0.000 17.511
! Magnetic moment in μB per atom: 0.0000
! SG: R-3m

ii) ! ErTh2Ga (PBE-GGA, relaxed); values from VASP
&SYSTEM
  ibrav = 0, nat = 4, ntyp = 3
/
ATOMIC_SPECIES
Er 167.26 Er.upf
Th 232.04 Th.upf
Ga 69.72 Ga.upf
CELL_PARAMETERS angstrom
4.748 0.000 0.000
0.000 4.748 0.000
0.000 0.000 4.871
ATOMIC_POSITIONS angstrom
Er 0.000 0.000 0.000
Th 0.000 2.374 2.436
Th 2.374 0.000 2.436
Ga 2.374 2.374 0.000
! Magnetic moment in μB per atom: 0.0000
! SG: P4/mmm

The calculated energies rank the structures as follows, beginning with the most stable: ii), i).

i) ! Er5Tl2Ga (PBE-GGA, relaxed); values from VASP
&SYSTEM
  ibrav = 0, nat = 8, ntyp = 3
/
ATOMIC_SPECIES
Er 167.26 Er.upf
Tl 204.38 Tl.upf
Ga 69.72 Ga.upf
CELL_PARAMETERS angstrom
0.000 4.831 4.831
4.521 0.000 4.831
4.521 4.831 0.000
ATOMIC_POSITIONS angstrom
Er 4.521 4.831 9.659
Er 2.260 2.415 0.000
Er 6.780 4.831 2.417
Er 2.262 4.831 2.417
Er 2.260 2.415 4.831
Tl 4.521 7.245 7.246
Tl 4.521 2.416 7.246
Ga 4.521 4.831 4.836
! Magnetic moment in μB per atom: 0.0001
! SG: Fmm2

ii) ! Er5Tl2Ga (PBE-GGA, relaxed); values from VASP
&SYSTEM
  ibrav = 0, nat = 16, ntyp = 3
/
ATOMIC_SPECIES
Er 167.26 Er.upf
Tl 204.38 Tl.upf
Ga 69.72 Ga.upf
CELL_PARAMETERS angstrom
6.815 0.000 0.000
0.000 12.702 0.000
0.000 0.000 4.972
ATOMIC_POSITIONS angstrom
Er 0.000 0.000 0.000
Er 0.945 3.544 0.000
Er 1.121 7.548 2.486
Er 2.286 1.197 2.486
Er 2.462 9.895 0.000
Er 3.407 6.351 0.000
Er 4.353 2.807 0.000
Er 4.529 11.505 2.486
Er 5.693 5.154 2.486
Er 5.870 9.158 0.000
Tl 0.750 10.723 2.486
Tl 2.657 4.372 2.486
Tl 4.158 8.330 2.486
Tl 6.065 1.979 2.486
Ga 0.000 6.351 0.000
Ga 3.407 0.000 0.000
! Magnetic moment in μB per atom: 0.0000
! SG: Pbam

The calculated energies rank the structures as follows, beginning with the most stable: ii), i).

i) ! ErTl2Ga (PBE-GGA, relaxed); values from VASP
&SYSTEM
  ibrav = 0, nat = 4, ntyp = 3
/
ATOMIC_SPECIES
Er 167.26 Er.upf
Tl 204.38 Tl.upf
Ga 69.72 Ga.upf
CELL_PARAMETERS angstrom
4.583 0.000 0.000
0.000 4.583 0.000
0.000 0.000 4.654
ATOMIC_POSITIONS angstrom
Er 0.000 0.000 0.000
Tl 0.000 2.291 2.327
Tl 2.291 0.000 2.327
Ga 2.291 2.291 0.000
! Magnetic moment in μB per atom: 0.0000
! SG: P4/mmm

ii) ! ErTl2Ga (PBE-GGA, relaxed); values from VASP
&SYSTEM
  ibrav = 0, nat = 4, ntyp = 3
/
ATOMIC_SPECIES
Er 167.26 Er.upf
Tl 204.38 Tl.upf
Ga 69.72 Ga.upf
CELL_PARAMETERS angstrom
1.729 0.998 11.068
-1.729 0.998 11.068
0.000 -1.996 11.068
ATOMIC_POSITIONS angstrom
Er 0.000 0.000 0.000
Tl 0.000 0.000 3.096
Tl 0.000 0.000 30.108
Ga 0.000 0.000 16.602
! Magnetic moment in μB per atom: 0.0000
! SG: R-3m

The calculated energies rank the structures as follows, beginning with the most stable: i), ii).

i) ! ErTmTlGa (PBE-GGA, relaxed); values from VASP
&SYSTEM
  ibrav = 0, nat = 4, ntyp = 4
/
ATOMIC_SPECIES
Er 167.26 Er.upf
Tm 168.93 Tm.upf
Tl 204.38 Tl.upf
Ga 69.72 Ga.upf
CELL_PARAMETERS angstrom
3.530 0.000 0.000
0.000 3.530 0.000
0.000 0.000 7.828
ATOMIC_POSITIONS angstrom
Er 0.000 0.000 0.000
Tm 0.000 0.000 4.225
Tl 1.765 1.765 2.123
Ga 1.765 1.765 6.018
! Magnetic moment in μB per atom: 0.0000
! SG: P4mm

ii) ! ErTmTlGa (PBE-GGA, relaxed); values from VASP
&SYSTEM
  ibrav = 0, nat = 4, ntyp = 4
/
ATOMIC_SPECIES
Er 167.26 Er.upf
Tm 168.93 Tm.upf
Tl 204.38 Tl.upf
Ga 69.72 Ga.upf
CELL_PARAMETERS angstrom
0.000 3.659 3.659
3.659 0.000 3.659
3.659 3.659 0.000
ATOMIC_POSITIONS angstrom
Er 0.000 0.000 0.000
Tm 3.659 3.659 3.659
Tl 5.488 5.488 5.488
Ga 1.829 1.829 1.829
! Magnetic moment in μB per atom: 0.0000
! SG: F-43m

The calculated energies rank the structures as follows, beginning with the most stable: i), ii).